(1)
VASP calculation (PBE) on a relaxed structure of La6AuS2I3.

As for the calculated total energy: -5.19 eV/atom. The density of states at the Fermi level is 10.86 states/eV/f.u. The raw formation energy is -1.38 eV/atom.

Lattice parameters (Å, degrees): 7.3515 7.3515 8.3294 98.35 98.35 119.96
With the nearest neighbours (Å) after each atom.
Sites, in units of the cell vectors:
La (0.0828, 0.4328, 0.7969)  2 S 2.88-2.89, 1 Au 3.04
La (0.2183, 0.2183, 0.1990)  2 S 2.88, 1 Au 3.01
La (0.4328, 0.0828, 0.7969)  2 S 2.88-2.89, 1 Au 3.04
La (0.5672, 0.9172, 0.2031)  2 S 2.88-2.89, 1 Au 3.04
La (0.7817, 0.7817, 0.8010)  2 S 2.88, 1 Au 3.01
La (0.9172, 0.5672, 0.2031)  2 S 2.88-2.89, 1 Au 3.04
Au (0.5000, 0.5000, 0.0000)  6 La 3.01-3.04
S (0.1674, 0.8326, 0.0000)  6 La 2.88-2.89
S (0.8326, 0.1674, 0.0000)  6 La 2.88-2.89
I (0.0000, 0.0000, 0.5000)  6 La 3.35-3.46
I (0.3385, 0.6615, 0.5000)  6 La 3.37-3.45
I (0.6615, 0.3385, 0.5000)  6 La 3.37-3.45

(2)
VASP calculation (PBE) on a relaxed structure of YErSc2.

The value obtained for the energy above the most stable polymorph in this dataset is 13 meV per atom. As for the energy relative to the elements: 0.065 eV/atom. As for the calculated total energy: -5.86 eV/atom. The density of states at the Fermi level is 6.56 states/eV/f.u.

Lattice parameters (Å, degrees): 11.1585 11.1585 11.1585 17.62 17.62 17.62
With the nearest neighbours (Å) after each atom.
Sites, in units of the cell vectors:
Y (0.0000, 0.0000, 0.0000)  6 Sc 3.40, 6 Y 3.42
Er (0.5000, 0.5000, 0.5000)  6 Sc 3.36, 6 Er 3.42
Sc (0.2493, 0.2493, 0.2493)  3 Er 3.36, 3 Y 3.40, 6 Sc 3.42
Sc (0.7507, 0.7507, 0.7507)  3 Er 3.36, 3 Y 3.40, 6 Sc 3.42

(3)
VASP calculation (PBE) on a relaxed structure of ScGaSCl2.

The value obtained for the energy above the most stable polymorph in this dataset is 814 meV per atom. As for the calculated total energy: -3.93 eV/atom. The density of states at the Fermi level is 6.27 states/eV/f.u. The raw formation energy is -0.50 eV/atom.

Lattice parameters (Å, degrees): 4.8348 4.8348 4.8693 90.00 90.00 90.00
With the nearest neighbours (Å) after each atom.
Sites, in units of the cell vectors:
Sc (0.0000, 0.0000, 0.0000)  4 S 3.42, 8 Cl 3.43
Ga (0.5000, 0.5000, 0.5000)  4 Cl 2.42, 2 S 2.43
S (0.5000, 0.5000, 0.0000)  2 Ga 2.43
Cl (0.0000, 0.5000, 0.5000)  2 Ga 2.42
Cl (0.5000, 0.0000, 0.5000)  2 Ga 2.42

(4)
VASP calculation (PBE) on a relaxed structure of YTa2Tc.

The value obtained for the energy above the most stable polymorph in this dataset is 141 meV per atom. As for the energy relative to the elements: 0.183 eV/atom. As for the calculated total energy: -9.95 eV/atom. The density of states at the Fermi level is 3.21 states/eV/f.u.

Lattice parameters (Å, degrees): 3.0722 4.3701 6.2050 90.00 103.71 90.00
With the nearest neighbours (Å) after each atom.
Sites, in units of the cell vectors:
Y (0.0000, 0.0000, 0.0000)  2 Tc 2.97, 4 Ta 3.07-3.21, 2 Y 3.07
Ta (0.4029, 0.0000, 0.5274)  2 Tc 2.62, 2 Ta 2.84
Ta (0.7246, 0.5000, 0.3175)  1 Tc 2.55, 2 Ta 2.84
Tc (0.1990, 0.5000, 0.7146)  3 Ta 2.55-2.62

(5)
VASP calculation (PBE) on a relaxed structure of ScAs2Pt.

The value obtained for the energy above the most stable polymorph in this dataset is 36 meV per atom. As for the energy relative to the elements: -0.666 eV/atom. As for the calculated total energy: -6.08 eV/atom. The density of states at the Fermi level is 2.04 states/eV/f.u.

Lattice parameters (Å, degrees): 4.4854 4.4854 3.4445 90.00 90.00 90.10
With the nearest neighbours (Å) after each atom.
Sites, in units of the cell vectors:
Sc (0.0000, 0.0000, 0.0000)  8 As 2.83
As (0.0000, 0.5000, 0.5000)  4 Sc 2.83, 4 Pt 2.83
As (0.5000, 0.0000, 0.5000)  4 Sc 2.83, 4 Pt 2.83
Pt (0.5000, 0.5000, 0.0000)  8 As 2.83

(6)
VASP calculation (PBE) on a relaxed structure of Ta4Zn3.

The value obtained for the energy above the most stable polymorph in this dataset is 236 meV per atom. As for the energy relative to the elements: 0.177 eV/atom. As for the calculated total energy: -7.14 eV/atom. The density of states at the Fermi level is 8.18 states/eV/f.u.

Lattice parameters (Å, degrees): 10.4698 10.4698 10.4698 161.16 161.16 26.76
With the nearest neighbours (Å) after each atom.
Sites, in units of the cell vectors:
Ta (0.0739, 0.0739, 0.0000)  5 Ta 2.79-3.01, 5 Zn 2.85-2.92
Ta (0.3582, 0.3582, 0.0000)  4 Ta 2.79, 6 Zn 2.87-2.89
Ta (0.6418, 0.6418, 0.0000)  4 Ta 2.79, 6 Zn 2.87-2.89
Ta (0.9261, 0.9261, 0.0000)  5 Ta 2.79-3.01, 5 Zn 2.85-2.92
Zn (0.2170, 0.2170, 0.0000)  4 Zn 2.77, 6 Ta 2.87-2.92
Zn (0.5000, 0.5000, 0.0000)  10 Ta 2.85-2.89
Zn (0.7830, 0.7830, 0.0000)  4 Zn 2.77, 6 Ta 2.87-2.92

(7)
VASP calculation (PBE) on a relaxed structure of Y2MnIr.

As for the energy relative to the elements: -0.355 eV/atom. As for the calculated total energy: -8.09 eV/atom. The density of states at the Fermi level is 4.21 states/eV/f.u.

Lattice parameters (Å, degrees): 3.8834 5.8541 5.8541 42.90 90.00 90.00
With the nearest neighbours (Å) after each atom.
Sites, in units of the cell vectors:
Y (0.0000, 0.0000, 0.0000)  3 Ir 2.97-3.27, 4 Mn 3.04
Y (0.5000, 0.2929, 0.2929)  4 Ir 2.98, 3 Mn 3.10-3.20
Mn (0.5000, 0.5868, 0.5868)  2 Ir 2.47
Ir (0.0000, 0.7272, 0.7272)  2 Mn 2.47

(8)
VASP calculation (PBE) on a relaxed structure of RhAuS2.

As for the calculated total energy: -4.72 eV/atom. The density of states at the Fermi level is 3.59 states/eV/f.u. The raw formation energy is 0.00 eV/atom.

Lattice parameters (Å, degrees): 6.5332 6.5332 6.5332 34.89 34.89 34.89
With the nearest neighbours (Å) after each atom.
Sites, in units of the cell vectors:
Rh (0.0000, 0.0000, 0.0000)  4 S 2.24-2.30
Au (0.5148, 0.5148, 0.5148)  4 S 2.38-2.51
S (0.1218, 0.1218, 0.1218)  1 Rh 2.24
S (0.6440, 0.6440, 0.6440)  3 Rh 2.30, 1 Au 2.38

(9)
VASP calculation (PBE) on a relaxed structure of VInAsSe2.

The value obtained for the energy above the most stable polymorph in this dataset is 0 meV per atom. As for the calculated total energy: -4.73 eV/atom. The density of states at the Fermi level is 3.60 states/eV/f.u. The raw formation energy is -0.04 eV/atom.

Lattice parameters (Å, degrees): 5.0432 5.0432 5.0576 90.00 90.00 90.00
With the nearest neighbours (Å) after each atom.
Sites, in units of the cell vectors:
V (0.0000, 0.0000, 0.0000)  4 Se 2.52, 2 As 2.53
In (0.5000, 0.5000, 0.5000)  4 As 3.57, 8 Se 3.57
As (0.0000, 0.0000, 0.5000)  2 V 2.53
Se (0.0000, 0.5000, 0.0000)  2 V 2.52
Se (0.5000, 0.0000, 0.0000)  2 V 2.52

(10)
VASP calculation (PBE) on a relaxed structure of Li2CrAu.

The value obtained for the energy above the most stable polymorph in this dataset is 243 meV per atom. As for the energy relative to the elements: 0.215 eV/atom. As for the calculated total energy: -3.97 eV/atom. The density of states at the Fermi level is 3.09 states/eV/f.u.

Lattice parameters (Å, degrees): 2.6512 2.6512 8.3941 90.00 90.00 90.00
With the nearest neighbours (Å) after each atom.
Sites, in units of the cell vectors:
Li (0.0000, 0.0000, 0.2432)  4 Li 2.65, 4 Au 2.77, 4 Cr 2.86
Li (0.0000, 0.0000, 0.7568)  4 Li 2.65, 4 Au 2.77, 4 Cr 2.86
Cr (0.5000, 0.5000, 0.5000)  4 Cr 2.65, 8 Li 2.86
Au (0.5000, 0.5000, 0.0000)  4 Au 2.65, 8 Li 2.77

(11)
VASP calculation (PBE) on a relaxed structure of In2Bi2Au3.

As for the energy relative to the elements: -0.069 eV/atom. As for the calculated total energy: -3.36 eV/atom. The density of states at the Fermi level is 2.52 states/eV/f.u.

Lattice parameters (Å, degrees): 7.6965 7.6965 5.6360 91.94 91.94 33.33
With the nearest neighbours (Å) after each atom.
Sites, in units of the cell vectors:
In (0.0955, 0.0955, 0.2940)  5 Au 2.88-3.22
In (0.9045, 0.9045, 0.7060)  5 Au 2.88-3.22
Bi (0.3545, 0.3545, 0.1438)  4 Au 2.89-3.12
Bi (0.6455, 0.6455, 0.8562)  4 Au 2.89-3.12
Au (0.2462, 0.2462, 0.6581)  2 Au 2.84, 3 Bi 2.91-3.12, 1 In 2.97
Au (0.5000, 0.5000, 0.5000)  4 In 2.88, 2 Bi 2.89
Au (0.7538, 0.7538, 0.3419)  2 Au 2.84, 3 Bi 2.91-3.12, 1 In 2.97

(12)
VASP calculation (PBE) on a relaxed structure of KZrTe4.

The value obtained for the energy above the most stable polymorph in this dataset is 1032 meV per atom. As for the calculated total energy: -3.39 eV/atom. The density of states at the Fermi level is 7.03 states/eV/f.u. The raw formation energy is 0.31 eV/atom.

Lattice parameters (Å, degrees): 6.4623 6.4623 6.4623 60.00 60.00 60.00
With the nearest neighbours (Å) after each atom.
Sites, in units of the cell vectors:
K (0.0000, 0.0000, 0.0000)  12 Te 3.79, 4 Zr 3.96
Zr (0.2500, 0.2500, 0.2500)  12 Te 3.79, 4 K 3.96
Te (0.1281, 0.6240, 0.6240)  6 Te 3.20-3.26
Te (0.6240, 0.1281, 0.6240)  6 Te 3.20-3.26
Te (0.6240, 0.6240, 0.1281)  6 Te 3.20-3.26
Te (0.6240, 0.6240, 0.6240)  6 Te 3.20-3.26

(13)
VASP calculation (PBE) on a relaxed structure of CdPPt2.

The value obtained for the energy above the most stable polymorph in this dataset is 262 meV per atom. As for the energy relative to the elements: 0.004 eV/atom. As for the calculated total energy: -4.60 eV/atom. The density of states at the Fermi level is 2.07 states/eV/f.u.

Lattice parameters (Å, degrees): 4.7250 4.7250 2.9510 90.00 90.00 90.00
With the nearest neighbours (Å) after each atom.
Sites, in units of the cell vectors:
Cd (0.0000, 0.0000, 0.0000)  8 Pt 2.79, 2 Cd 2.95
P (0.5000, 0.5000, 0.0000)  8 Pt 2.79, 2 P 2.95
Pt (0.0000, 0.5000, 0.5000)  4 P 2.79, 4 Cd 2.79, 2 Pt 2.95
Pt (0.5000, 0.0000, 0.5000)  4 P 2.79, 4 Cd 2.79, 2 Pt 2.95